Compound: NiW3S
Source: the Alexandria database
Functional: GGA-PBEsol
Structure: optimized geometry

As for the density of states at the Fermi level: 7.57 states/eV/cell. For the uncorrected formation energy, the calculation gives 1.110 eV per atom. Its spin magnetization is 0.00 μB per formula unit. As for the space group: Pm-3m (221). Its total energy is -9.28 eV per atom. The volume comes out at 81.1 Å³/cell.

Lattice parameters (Å, degrees): 4.329 4.329 4.329 90.00 90.00 90.00
Atoms (fractional coordinates):
Ni 0.000 0.000 0.000
W 0.000 0.500 0.500
W 0.500 0.000 0.500
W 0.500 0.500 0.000
S 0.500 0.500 0.500